! PmMgMoO4, optimized geometry, DFT PBE with a Hubbard U; values from VASP
! space-group type = No. 74
! N(E_F) = 0.00 states/eV per atom
! electronic total energy = -100.80 eV/cell
! magnetic moment = 6.00 μB/cell
&SYSTEM
  ibrav = 0, nat = 14, ntyp = 4
/
ATOMIC_SPECIES
O 16.00 O.upf
Mo 95.94 Mo.upf
Mg 24.30 Mg.upf
Pm 145.00 Pm.upf
CELL_PARAMETERS angstrom
-5.001 -3.175 -2.634
-2.677 -5.047 3.189
-6.001 0.765 2.493
ATOMIC_POSITIONS angstrom
O -10.215 -5.732 2.369
O -3.465 -1.725 0.679
O -8.894 -3.066 0.594
O -6.024 -3.331 -0.503
O -4.786 -4.392 2.454
O -7.655 -4.127 3.552
O -7.312 -5.996 1.124
O -6.367 -1.462 1.925
Mo -3.001 0.383 1.247
Mo -5.501 -1.205 -0.070
Mg -5.586 -5.055 0.741
Mg -8.094 -2.403 2.307
Pm 0.000 0.000 0.000
Pm -4.339 -2.141 2.841